Entry from Alexandria: a relaxed structure of Se2I2Cl (GGA-PBE).

Structure (POSCAR):
```
Se2I2Cl
1.0
0.339 3.233 -3.127
-2.600 5.497 6.571
2.858 9.715 6.607
Cl Se I
1 2 2
direct
0.500 0.500 0.000 Cl
0.082 0.902 0.626 Se
0.918 0.098 0.374 Se
0.344 0.348 0.501 I
0.656 0.652 0.499 I
```

**Density**: 3.2 g/cm³
**Energy relative to the lowest polymorph listed for this composition**: 0.0000 eV/atom
**Total moment**: 0.00 μB/cell
**E**: -11.86 eV/cell
**Fermi-level density of states**: 1.0 states/eV/cell

Entry from Alexandria: a relaxed structure of HfBI2O (GGA-PBE).

Structure (POSCAR):
```
HfBI2O
1.0
-3.395 -0.372 -4.685
1.978 -5.355 -1.008
-2.909 -1.493 2.227
I O Hf B
2 1 1 1
direct
0.000 0.500 0.000 I
0.500 0.000 0.000 I
0.000 0.000 0.500 O
0.000 0.000 0.000 Hf
0.500 0.500 0.500 B
```

**Density**: 5.7 g/cm³
**Energy relative to the lowest polymorph listed for this composition**: 0.0000 eV/atom
**Total moment**: 0.87 μB/cell
**E**: -25.52 eV/cell
**Fermi-level density of states**: 2.9 states/eV/cell

Entry from Alexandria: a relaxed structure of Tm2ScHg3 (GGA-PBE).

Structure (POSCAR):
```
Tm2ScHg3
1.0
-4.687 -1.759 -1.064
4.020 -1.620 -2.722
1.702 -9.461 8.142
Hg Sc Tm
6 2 4
direct
0.000 0.000 0.746 Hg
0.333 0.667 0.914 Hg
0.667 0.333 0.581 Hg
0.667 0.333 0.086 Hg
0.333 0.667 0.419 Hg
0.000 0.000 0.254 Hg
0.667 0.333 0.334 Sc
0.333 0.667 0.666 Sc
0.667 0.333 0.829 Tm
0.000 0.000 0.500 Tm
0.333 0.667 0.171 Tm
0.000 0.000 0.000 Tm
```

**Formation enthalpy at 0 K**: -2.7 eV per formula unit
**Density**: 11.4 g/cm³
**Energy relative to the lowest polymorph listed for this composition**: 0.0044 eV/atom
**Total moment**: 0.03 μB/cell
**E**: -37.79 eV/cell
**Fermi-level density of states**: 11.2 states/eV/cell

Entry from Alexandria: a relaxed structure of Tm3Fe3B8 (GGA-PBE).

Structure (POSCAR):
```
Tm3Fe3B8
1.0
-0.216 -2.933 1.189
-0.488 -4.207 -6.233
6.328 -3.211 -2.538
B Tm Fe
8 3 3
direct
0.139 0.189 0.534 B
0.623 0.642 0.113 B
0.139 0.534 0.189 B
0.861 0.466 0.811 B
0.623 0.113 0.642 B
0.861 0.811 0.466 B
0.377 0.358 0.887 B
0.377 0.887 0.358 B
0.500 0.500 0.500 Tm
0.780 0.220 0.220 Tm
0.220 0.780 0.780 Tm
0.000 0.210 0.790 Fe
0.000 0.790 0.210 Fe
0.500 0.000 0.000 Fe
```

**Formation enthalpy at 0 K**: -3.7 eV per formula unit
**Density**: 8.2 g/cm³
**Total moment**: 2.89 μB/cell
**E**: -95.95 eV/cell
**Fermi-level density of states**: 6.8 states/eV/cell

Entry from Alexandria: a relaxed structure of Na2CaCu2 (GGA-PBE).

Structure (POSCAR):
```
Na2CaCu2
1.0
-6.586 3.847 3.313
-4.780 -6.529 -1.919
0.680 -1.359 2.929
Na Cu Ca
4 4 2
direct
0.619 0.119 0.000 Na
0.381 0.881 0.000 Na
0.881 0.619 0.000 Na
0.119 0.381 0.000 Na
0.683 0.817 0.500 Cu
0.183 0.683 0.500 Cu
0.317 0.183 0.500 Cu
0.817 0.317 0.500 Cu
0.500 0.500 0.000 Ca
0.000 0.000 0.000 Ca
```

**Formation enthalpy at 0 K**: 1.3 eV per formula unit
**Density**: 3.1 g/cm³
**Energy relative to the lowest polymorph listed for this composition**: 0.1466 eV/atom
**Total moment**: 0.00 μB/cell
**E**: -22.98 eV/cell
**Fermi-level density of states**: 3.6 states/eV/cell

Entry from Alexandria: a relaxed structure of LiZr2Tl (GGA-PBE).

Structure (POSCAR):
```
LiZr2Tl
1.0
3.213 0.000 0.000
0.000 4.209 0.000
0.000 0.000 6.457
Zr Tl Li
2 1 1
direct
0.500 0.500 0.248 Zr
0.000 0.000 0.003 Zr
0.500 0.500 0.735 Tl
0.000 0.000 0.514 Li
```

**Formation enthalpy at 0 K**: 0.1 eV per formula unit
**Density**: 7.5 g/cm³
**Total moment**: 0.00 μB/cell
**E**: -21.29 eV/cell
**Fermi-level density of states**: 3.9 states/eV/cell

Entry from Alexandria: a relaxed structure of BeCr2Cu (GGA-PBE).

Structure (POSCAR):
```
BeCr2Cu
1.0
4.565 -0.006 0.000
-2.228 3.984 0.000
0.090 0.153 2.399
Cr Cu Be
2 1 1
direct
0.500 0.500 0.000 Cr
0.000 0.000 0.000 Cr
0.500 0.000 0.500 Cu
0.000 0.500 0.500 Be
```

**Formation enthalpy at 0 K**: 0.7 eV per formula unit
**Density**: 6.7 g/cm³
**Total moment**: 0.00 μB/cell
**E**: -26.41 eV/cell
**Fermi-level density of states**: 2.9 states/eV/cell

Entry from Alexandria: a relaxed structure of LaScRu2 (GGA-PBE).

Structure (POSCAR):
```
LaScRu2
1.0
3.375 0.000 0.000
0.000 3.375 0.000
0.000 0.000 6.748
Ru La Sc
2 1 1
direct
0.000 0.000 0.019 Ru
0.000 0.000 0.481 Ru
0.500 0.500 0.750 La
0.500 0.500 0.250 Sc
```

**Formation enthalpy at 0 K**: -1.0 eV per formula unit
**Density**: 8.3 g/cm³
**Total moment**: 0.00 μB/cell
**E**: -30.81 eV/cell
**Fermi-level density of states**: 4.1 states/eV/cell

Entry from Alexandria: a relaxed structure of Er2SnTe4 (GGA-PBE).

Structure (POSCAR):
```
Er2SnTe4
1.0
-4.581 4.117 -2.426
-3.795 -5.176 -1.619
1.106 0.817 8.329
Te Sn Er
4 1 2
direct
0.649 0.649 0.752 Te
0.103 0.103 0.752 Te
0.897 0.351 0.248 Te
0.351 0.897 0.248 Te
0.500 0.500 0.000 Sn
0.250 0.750 0.500 Er
0.750 0.250 0.500 Er
```

**Density**: 5.2 g/cm³
**Energy relative to the lowest polymorph listed for this composition**: 0.2677 eV/atom
**Total moment**: 0.00 μB/cell
**E**: -31.10 eV/cell

Entry from Alexandria: a relaxed structure of Hf2InOs (GGA-PBE).

Structure (POSCAR):
```
Hf2InOs
1.0
7.819 0.000 0.000
0.000 7.819 0.000
3.909 3.909 2.862
In Hf Os
2 4 2
direct
0.500 0.500 0.000 In
0.250 0.750 0.500 In
0.069 0.625 0.250 Hf
0.681 0.125 0.250 Hf
0.375 0.319 0.750 Hf
0.875 0.931 0.750 Hf
0.750 0.250 0.500 Os
0.000 0.000 0.000 Os
```

**Formation enthalpy at 0 K**: 0.8 eV per formula unit
**Density**: 12.6 g/cm³
**Total moment**: 0.00 μB/cell
**E**: -66.24 eV/cell
**Fermi-level density of states**: 5.5 states/eV/cell

Entry from Alexandria: a relaxed structure of CeCoBRu2 (GGA-PBE).

Structure (POSCAR):
```
CeCoBRu2
1.0
3.989 0.000 0.000
0.000 4.219 0.000
0.000 0.000 4.219
Ru Ce Co B
2 1 1 1
direct
0.000 0.000 0.500 Ru
0.000 0.500 0.000 Ru
0.500 0.500 0.500 Ce
0.500 0.000 0.000 Co
0.000 0.000 0.000 B
```

**Formation enthalpy at 0 K**: -2.0 eV per formula unit
**Density**: 9.6 g/cm³
**Total moment**: 0.00 μB/cell
**E**: -40.23 eV/cell
**Fermi-level density of states**: 2.8 states/eV/cell

Entry from Alexandria: a relaxed structure of BaMn2Os (GGA-PBE).

Structure (POSCAR):
```
BaMn2Os
1.0
-2.079 -0.978 5.710
-5.950 -1.451 0.613
5.659 -1.303 -2.040
Os Ba Mn
1 1 2
direct
0.750 0.250 0.500 Os
0.250 0.750 0.500 Ba
0.944 0.944 0.000 Mn
0.556 0.556 0.000 Mn
```

**Formation enthalpy at 0 K**: 3.7 eV per formula unit
**Density**: 7.9 g/cm³
**Energy relative to the lowest polymorph listed for this composition**: 0.5143 eV/atom
**Total moment**: 7.88 μB/cell
**E**: -27.76 eV/cell
**Fermi-level density of states**: 4.9 states/eV/cell

Entry from Alexandria: a relaxed structure of LaTcB4 (GGA-PBE).

Structure (POSCAR):
```
LaTcB4
1.0
3.731 0.000 0.000
0.000 6.128 0.000
0.000 0.000 11.871
Tc La B
4 4 16
direct
0.000 0.628 0.085 Tc
0.000 0.872 0.585 Tc
0.000 0.372 0.915 Tc
0.000 0.128 0.415 Tc
0.000 0.876 0.849 La
0.000 0.124 0.151 La
0.000 0.624 0.349 La
0.000 0.376 0.651 La
0.500 0.643 0.533 B
0.500 0.611 0.955 B
0.500 0.022 0.688 B
0.500 0.111 0.545 B
0.500 0.722 0.681 B
0.500 0.478 0.188 B
0.500 0.357 0.467 B
0.500 0.522 0.812 B
0.500 0.143 0.967 B
0.500 0.857 0.033 B
0.500 0.978 0.312 B
0.500 0.278 0.319 B
0.500 0.778 0.181 B
0.500 0.389 0.045 B
0.500 0.222 0.819 B
0.500 0.889 0.455 B
```

**Formation enthalpy at 0 K**: -2.9 eV per formula unit
**Density**: 6.9 g/cm³
**Total moment**: 0.00 μB/cell
**E**: -179.66 eV/cell
**Fermi-level density of states**: 8.0 states/eV/cell

Entry from Alexandria: a relaxed structure of CuAu3Cl (GGA-PBE).

Structure (POSCAR):
```
CuAu3Cl
1.0
-1.918 -3.203 3.073
0.639 -3.512 -3.262
4.393 -0.888 1.816
Cl Au Cu
1 3 1
direct
0.500 0.500 0.500 Cl
0.000 0.500 0.000 Au
0.000 0.000 0.500 Au
0.500 0.000 0.000 Au
0.000 0.000 0.000 Cu
```

**Density**: 10.1 g/cm³
**Energy relative to the lowest polymorph listed for this composition**: 0.0000 eV/atom
**Total moment**: 0.00 μB/cell
**E**: -12.74 eV/cell
**Fermi-level density of states**: 2.4 states/eV/cell

Entry from Alexandria: a relaxed structure of CrIrBr2 (GGA-PBE).

Structure (POSCAR):
```
CrIrBr2
1.0
2.302 0.000 7.566
-1.151 1.993 7.566
-1.151 -1.993 7.566
Br Cr Ir
2 1 1
direct
0.892 0.892 0.892 Br
0.108 0.108 0.108 Br
0.000 0.000 0.000 Cr
0.500 0.500 0.500 Ir
```

**Density**: 6.4 g/cm³
**Energy relative to the lowest polymorph listed for this composition**: 0.8029 eV/atom
**Total moment**: 3.00 μB/cell
**E**: -18.55 eV/cell
**Fermi-level density of states**: 0.9 states/eV/cell

Entry from Alexandria: a relaxed structure of Pm3DySc4 (GGA-PBE).

Structure (POSCAR):
```
Pm3DySc4
1.0
5.987 0.000 0.000
0.000 7.114 0.000
0.000 0.000 10.911
Sc Dy Pm
8 2 6
direct
0.649 0.110 0.000 Sc
0.480 0.890 0.252 Sc
0.149 0.890 0.500 Sc
0.149 0.889 0.000 Sc
0.980 0.110 0.752 Sc
0.980 0.110 0.248 Sc
0.480 0.890 0.748 Sc
0.649 0.111 0.500 Sc
0.636 0.640 0.500 Dy
0.136 0.360 0.000 Dy
0.492 0.363 0.750 Pm
0.992 0.637 0.750 Pm
0.138 0.362 0.500 Pm
0.492 0.363 0.250 Pm
0.992 0.637 0.250 Pm
0.638 0.638 0.000 Pm
```

**Formation enthalpy at 0 K**: 0.4 eV per formula unit
**Density**: 5.6 g/cm³
**Total moment**: 0.01 μB/cell
**E**: -87.54 eV/cell
**Fermi-level density of states**: 30.3 states/eV/cell

Entry from Alexandria: a relaxed structure of CaCrGa (GGA-PBE).

Structure (POSCAR):
```
CaCrGa
1.0
7.555 0.000 0.055
0.000 3.976 0.000
-6.971 0.000 8.757
Ga Cr Ca
4 4 4
direct
0.412 0.500 0.590 Ga
0.412 0.000 0.090 Ga
0.162 0.000 0.413 Ga
0.162 0.500 0.913 Ga
0.988 0.500 0.502 Cr
0.779 0.500 0.867 Cr
0.779 0.000 0.367 Cr
0.988 0.000 0.002 Cr
0.369 0.500 0.287 Ca
0.369 0.000 0.787 Ca
0.781 0.500 0.146 Ca
0.781 0.000 0.646 Ca
```

**Formation enthalpy at 0 K**: 0.1 eV per formula unit
**Density**: 4.1 g/cm³
**Total moment**: 0.17 μB/cell
**E**: -58.36 eV/cell
**Fermi-level density of states**: 6.9 states/eV/cell

Entry from Alexandria: a relaxed structure of Ce2GaTc2 (GGA-PBE).

Structure (POSCAR):
```
Ce2GaTc2
1.0
5.743 0.536 0.333
3.074 4.881 0.333
1.811 1.113 8.080
Ga Ce Tc
2 4 4
direct
0.917 0.083 0.750 Ga
0.083 0.917 0.250 Ga
0.464 0.233 0.131 Ce
0.536 0.767 0.869 Ce
0.767 0.536 0.369 Ce
0.233 0.464 0.631 Ce
0.696 0.034 0.539 Tc
0.304 0.966 0.461 Tc
0.034 0.696 0.039 Tc
0.966 0.304 0.961 Tc
```

**Formation enthalpy at 0 K**: -1.5 eV per formula unit
**Density**: 8.7 g/cm³
**Total moment**: 0.00 μB/cell
**E**: -74.21 eV/cell
**Fermi-level density of states**: 9.0 states/eV/cell

Entry from Alexandria: a relaxed structure of Pm3Dy2Zn2 (GGA-PBE).

Structure (POSCAR):
```
Pm3Dy2Zn2
1.0
3.745 0.000 0.000
-1.873 6.455 -0.394
0.000 -3.473 8.524
Pm Dy Zn
3 2 2
direct
0.609 0.217 0.438 Pm
0.500 0.000 0.000 Pm
0.391 0.783 0.562 Pm
0.152 0.304 0.815 Dy
0.848 0.696 0.185 Dy
0.819 0.638 0.776 Zn
0.181 0.362 0.224 Zn
```

**Formation enthalpy at 0 K**: -0.9 eV per formula unit
**Density**: 7.4 g/cm³
**Energy relative to the lowest polymorph listed for this composition**: 0.0389 eV/atom
**Total moment**: 0.00 μB/cell
**E**: -26.93 eV/cell
**Fermi-level density of states**: 8.2 states/eV/cell

Entry from Alexandria: a relaxed structure of MgBi2As (GGA-PBE).

Structure (POSCAR):
```
MgBi2As
1.0
0.000 3.744 3.744
3.744 0.000 3.744
3.744 3.744 0.000
As Bi Mg
1 2 1
direct
0.500 0.500 0.500 As
0.250 0.250 0.250 Bi
0.750 0.750 0.750 Bi
0.000 0.000 0.000 Mg
```

**Formation enthalpy at 0 K**: 0.6 eV per formula unit
**Density**: 8.2 g/cm³
**Energy relative to the lowest polymorph listed for this composition**: 0.0000 eV/atom
**Total moment**: 0.00 μB/cell
**E**: -13.44 eV/cell
**Fermi-level density of states**: 2.3 states/eV/cell

Entry from Alexandria: a relaxed structure of La4Cd2GaHg (GGA-PBE).

Structure (POSCAR):
```
La4Cd2GaHg
1.0
5.488 0.000 0.000
2.744 4.753 0.000
2.744 1.584 9.010
La Cd Hg Ga
4 2 1 1
direct
0.128 0.128 0.616 La
0.872 0.872 0.384 La
0.622 0.622 0.135 La
0.378 0.378 0.865 La
0.749 0.749 0.754 Cd
0.251 0.251 0.246 Cd
0.000 0.000 0.000 Hg
0.500 0.500 0.500 Ga
```

**Formation enthalpy at 0 K**: -3.4 eV per formula unit
**Density**: 7.4 g/cm³
**Total moment**: 0.00 μB/cell
**E**: -28.27 eV/cell
**Fermi-level density of states**: 10.7 states/eV/cell

Entry from Alexandria: a relaxed structure of Mg5Mn3 (GGA-PBE).

Structure (POSCAR):
```
Mg5Mn3
1.0
-0.726 6.726 4.303
1.603 -7.808 0.813
6.847 1.976 -3.665
Mn Mg
6 10
direct
0.670 0.826 0.500 Mn
0.244 0.744 0.847 Mn
0.329 0.174 0.500 Mn
0.755 0.256 0.153 Mn
0.254 0.246 0.000 Mn
0.745 0.754 0.000 Mn
0.761 0.261 0.521 Mg
0.601 0.303 0.855 Mg
0.398 0.696 0.145 Mg
0.238 0.739 0.479 Mg
0.196 0.899 0.145 Mg
0.803 0.101 0.855 Mg
0.281 0.431 0.701 Mg
0.067 0.217 0.299 Mg
0.718 0.569 0.299 Mg
0.932 0.783 0.701 Mg
```

**Formation enthalpy at 0 K**: 2.4 eV per formula unit
**Density**: 3.2 g/cm³
**Energy relative to the lowest polymorph listed for this composition**: 0.0476 eV/atom
**Total moment**: 20.57 μB/cell
**E**: -66.25 eV/cell
**Fermi-level density of states**: 14.5 states/eV/cell

Entry from Alexandria: a relaxed structure of Sn2CN (GGA-PBE).

Structure (POSCAR):
```
Sn2CN
1.0
-2.684 1.797 -3.970
-0.542 -4.764 -1.790
-5.985 -2.008 -0.162
C Sn N
2 4 2
direct
0.500 0.500 0.000 C
0.250 0.750 0.500 C
0.875 0.873 0.750 Sn
0.623 0.125 0.250 Sn
0.375 0.377 0.750 Sn
0.127 0.625 0.250 Sn
0.000 0.000 0.000 N
0.750 0.250 0.500 N
```

**Density**: 6.5 g/cm³
**Energy relative to the lowest polymorph listed for this composition**: 0.0000 eV/atom
**Total moment**: 0.00 μB/cell
**E**: -45.54 eV/cell
**Fermi-level density of states**: 2.9 states/eV/cell

Entry from Alexandria: a relaxed structure of LaCe2SmN4 (GGA-PBE).

Structure (POSCAR):
```
LaCe2SmN4
1.0
-3.403 -0.366 1.149
1.436 -5.564 2.485
0.953 4.487 4.253
Ce N La Sm
2 4 1 1
direct
0.000 0.500 0.500 Ce
0.500 0.000 0.500 Ce
0.000 0.762 0.270 N
0.500 0.250 0.264 N
0.000 0.238 0.730 N
0.500 0.750 0.736 N
0.500 0.500 0.000 La
0.000 0.000 0.000 Sm
```

**Density**: 7.8 g/cm³
**Total moment**: 0.33 μB/cell
**E**: -66.50 eV/cell
**Fermi-level density of states**: 4.7 states/eV/cell